Li5Ga2Pd5 PBE-GGA relaxed; mass density = 7.01 g/cm³; formation energy = -0.5281 eV per atom; calculated total energy = -3.9937 eV per atom; symmetry = C2/m; total moment = 0.0 μB/f.u.
1.0
-3.106 -0.245 -2.836
-0.535 -1.673 3.860
0.282 13.034 -1.437
Ga Li Pd
2 5 5
direct
0.159 0.319 0.824 Ga
0.841 0.681 0.176 Ga
0.673 0.346 0.341 Li
0.583 0.165 0.915 Li
0.327 0.654 0.659 Li
0.500 0.000 0.500 Li
0.417 0.835 0.085 Li
0.084 0.168 0.417 Pd
0.916 0.832 0.583 Pd
0.000 0.000 0.000 Pd
0.749 0.498 0.747 Pd
0.251 0.502 0.253 Pd

PrEr6Tm12 PBE-GGA relaxed; mass density = 8.82 g/cm³; formation energy = 0.1644 eV per atom; calculated total energy = -4.3522 eV per atom; symmetry = R-3; E above lowest polymorph = 0.00 kcal/mol of atoms; total moment = 0.0 μB/f.u.
1.0
-5.157 -4.373 -5.026
6.492 -3.188 -4.322
0.381 -6.741 5.040
Er Pr Tm
6 1 12
direct
0.745 0.910 0.318 Er
0.090 0.682 0.255 Er
0.255 0.090 0.682 Er
0.318 0.745 0.910 Er
0.682 0.255 0.090 Er
0.910 0.318 0.745 Er
0.000 0.000 0.000 Pr
0.994 0.783 0.646 Tm
0.546 0.436 0.771 Tm
0.229 0.454 0.564 Tm
0.217 0.354 0.006 Tm
0.564 0.229 0.454 Tm
0.646 0.994 0.783 Tm
0.783 0.646 0.994 Tm
0.454 0.564 0.229 Tm
0.354 0.006 0.217 Tm
0.771 0.546 0.436 Tm
0.006 0.217 0.354 Tm
0.436 0.771 0.546 Tm

Sm3ThPb5 PBE-GGA relaxed; mass density = 10.53 g/cm³; formation energy = -0.4151 eV per atom; calculated total energy = -4.8728 eV per atom; symmetry = P6_3/mcm; total moment = 0.0 μB/f.u.
1.0
-0.140 0.027 -6.577
-2.458 -9.441 0.013
-6.945 6.848 0.176
Pb Th Sm
10 2 6
direct
0.500 0.667 0.333 Pb
0.750 0.000 0.703 Pb
0.250 0.297 0.000 Pb
0.500 0.333 0.667 Pb
0.750 0.297 0.297 Pb
0.250 0.000 0.297 Pb
0.750 0.703 0.000 Pb
0.250 0.703 0.703 Pb
0.000 0.333 0.667 Pb
0.000 0.667 0.333 Pb
0.500 0.000 0.000 Th
0.000 0.000 0.000 Th
0.250 0.624 0.000 Sm
0.750 0.624 0.624 Sm
0.750 0.000 0.376 Sm
0.250 0.376 0.376 Sm
0.750 0.376 0.000 Sm
0.250 0.000 0.624 Sm

Dy3Tm3ScSe8 PBE-GGA relaxed; mass density = 7.55 g/cm³; calculated total energy = -5.8796 eV per atom; symmetry = R-3m; energy relative to the elements, uncorrected = -1.78 eV/atom; total moment = 0.0 μB/f.u.
1.0
8.033 0.000 0.000
-4.017 6.957 -0.024
0.000 -4.615 6.592
Dy Tm Se Sc
3 3 8 1
direct
0.000 0.500 0.000 Dy
0.500 0.500 0.000 Dy
0.000 0.000 0.000 Dy
0.000 0.500 0.500 Tm
0.500 0.000 0.500 Tm
0.500 0.500 0.500 Tm
0.247 0.494 0.744 Se
0.753 0.506 0.256 Se
0.251 0.003 0.256 Se
0.247 0.997 0.744 Se
0.252 0.503 0.255 Se
0.753 0.003 0.256 Se
0.748 0.497 0.745 Se
0.749 0.997 0.744 Se
0.000 0.000 0.500 Sc

Going through the records in order, we get Fermi-level density of states values of 2.83; 29.90; 15.74; 6.47 states/eV per cell.